Record 1
Computed, not measured: HgRu2Br after structural relaxation at the PBE level of DFT.

## Properties
Raw formation energy in eV per atom: 1.09

Unit cell a=4.990 b=4.990 c=4.990 alpha=129.53 beta=129.53 gamma=74.17
Fractional coordinates of all 4 atoms:
1 Ru 0.000 0.000 0.000
2 Ru 0.250 0.750 0.500
3 Hg 0.750 0.250 0.500
4 Br 0.500 0.500 0.000


Record 2
Computed, not measured: Hg2RuBr after structural relaxation at the PBE level of DFT.

## Properties
Raw formation energy in eV per atom: 0.41

Unit cell a=3.158 b=7.106 c=7.109 alpha=39.76 beta=90.00 gamma=90.00
Fractional coordinates of all 4 atoms:
1 Ru 0.500 0.250 0.250
2 Hg 0.000 0.073 0.071
3 Hg 0.000 0.427 0.429
4 Br 0.500 0.750 0.750


Record 3
Computed, not measured: Hg2RuBr after structural relaxation at the PBE level of DFT.

## Properties
Raw formation energy in eV per atom: 0.73

Unit cell a=5.829 b=5.829 c=5.829 alpha=139.20 beta=139.20 gamma=59.07
Fractional coordinates of all 4 atoms:
1 Ru 0.250 0.750 0.500
2 Hg 0.000 0.000 0.000
3 Hg 0.500 0.500 0.000
4 Br 0.750 0.250 0.500